# 1
# CsK2Tl9 | Alexandria | PBE | optimized geometry
# uncorrected energy: -2.1018 eV/atom
# energy of formation: -0.073 eV per atom
data_CsK2Tl9
_symmetry_space_group_name_H-M 'R -3 m'
_symmetry_Int_Tables_number 166
_symmetry_space_group_name_Hall '-R 3 2"'
_cell_length_a 6.7951
_cell_length_b 6.7951
_cell_length_c 32.3127
_cell_angle_alpha 90.00
_cell_angle_beta 90.00
_cell_angle_gamma 120.00
loop_
_atom_site_label
_atom_site_type_symbol
_atom_site_fract_x
_atom_site_fract_y
_atom_site_fract_z
_atom_site_occupancy
Cs1 Cs 0.0000 0.0000 0.0000 1
K1 K 0.0000 0.0000 0.1421 1
Tl1 Tl 0.0000 0.0000 0.3354 1
Tl2 Tl 0.0000 0.0000 0.5000 1
Tl3 Tl 0.0060 0.5030 0.9150 1

# 2
# CsK6Tl2 | Alexandria | PBE | optimized geometry
# uncorrected energy: -1.3751 eV/atom
# energy of formation: -0.023 eV per atom
data_CsK6Tl2
_symmetry_space_group_name_H-M 'I m m m'
_symmetry_Int_Tables_number 71
_symmetry_space_group_name_Hall '-I 2 2'
_cell_length_a 12.239
_cell_length_b 12.362
_cell_length_c 14.021
_cell_angle_alpha 90.00
_cell_angle_beta 90.00
_cell_angle_gamma 90.00
loop_
_atom_site_label
_atom_site_type_symbol
_atom_site_fract_x
_atom_site_fract_y
_atom_site_fract_z
_atom_site_occupancy
Cs1 Cs 0.000 0.000 0.000 1
Cs2 Cs 0.000 0.000 0.500 1
K1 K 0.000 0.308 0.186 1
K2 K 0.193 0.289 0.500 1
K3 K 0.234 0.000 0.258 1
Tl1 Tl 0.000 0.500 0.391 1
Tl2 Tl 0.129 0.500 0.000 1

# 3
# CsK6Tl6 | Alexandria | PBE | optimized geometry
# uncorrected energy: -1.7243 eV/atom
# energy of formation: -0.060 eV per atom
data_CsK6Tl6
_symmetry_space_group_name_H-M 'I m m m'
_symmetry_Int_Tables_number 71
_symmetry_space_group_name_Hall '-I 2 2'
_cell_length_a 7.029
_cell_length_b 12.372
_cell_length_c 12.663
_cell_angle_alpha 90.00
_cell_angle_beta 90.00
_cell_angle_gamma 90.00
loop_
_atom_site_label
_atom_site_type_symbol
_atom_site_fract_x
_atom_site_fract_y
_atom_site_fract_z
_atom_site_occupancy
Cs1 Cs 0.000 0.000 0.000 1
K1 K 0.000 0.000 0.327 1
K2 K 0.000 0.320 0.500 1
K3 K 0.000 0.344 0.000 1
Tl1 Tl 0.000 0.500 0.260 1
Tl2 Tl 0.250 0.250 0.250 1

# 4
# Cs4K6Tl | Alexandria | PBE | optimized geometry
# uncorrected energy: -1.0780 eV/atom
# energy of formation: 0.046 eV per atom
data_Cs4K6Tl
_symmetry_space_group_name_H-M 'P 4/m n c'
_symmetry_Int_Tables_number 128
_symmetry_space_group_name_Hall '-P 4 2n'
_cell_length_a 11.867
_cell_length_b 11.867
_cell_length_c 12.389
_cell_angle_alpha 90.00
_cell_angle_beta 90.00
_cell_angle_gamma 90.00
loop_
_atom_site_label
_atom_site_type_symbol
_atom_site_fract_x
_atom_site_fract_y
_atom_site_fract_z
_atom_site_occupancy
Cs1 Cs 0.145 0.355 0.250 1
K1 K 0.000 0.000 0.189 1
K2 K 0.126 0.707 0.500 1
Tl1 Tl 0.000 0.000 0.500 1

# 5
# Cs6K23Tl | Alexandria | PBE | optimized geometry
# uncorrected energy: -1.0721 eV/atom
# energy of formation: 0.019 eV per atom
data_Cs6K23Tl
_symmetry_space_group_name_H-M 'F m -3 m'
_symmetry_Int_Tables_number 225
_symmetry_space_group_name_Hall '-F 4 2 3'
_cell_length_a 21.131
_cell_length_b 21.131
_cell_length_c 21.131
_cell_angle_alpha 90.00
_cell_angle_beta 90.00
_cell_angle_gamma 90.00
loop_
_atom_site_label
_atom_site_type_symbol
_atom_site_fract_x
_atom_site_fract_y
_atom_site_fract_z
_atom_site_occupancy
Cs1 Cs 0.000 0.000 0.192 1
K1 K 0.000 0.000 0.500 1
K2 K 0.000 0.250 0.250 1
K3 K 0.118 0.118 0.382 1
K4 K 0.170 0.170 0.170 1
Tl1 Tl 0.000 0.000 0.000 1

# 6
# CsKTl | Alexandria | PBE | optimized geometry
# energy above the most stable polymorph in this dataset: 0.132 eV per atom
# uncorrected energy: -1.3719 eV/atom
# energy of formation: 0.067 eV per atom
data_CsKTl
_symmetry_space_group_name_H-M 'P 3 m 1'
_symmetry_Int_Tables_number 156
_symmetry_space_group_name_Hall 'P 3 -2"'
_cell_length_a 6.5407
_cell_length_b 6.5407
_cell_length_c 4.3791
_cell_angle_alpha 90.00
_cell_angle_beta 90.00
_cell_angle_gamma 120.00
loop_
_atom_site_label
_atom_site_type_symbol
_atom_site_fract_x
_atom_site_fract_y
_atom_site_fract_z
_atom_site_occupancy
Cs1 Cs 0.0000 0.0000 0.0000 1
K1 K 0.3333 0.6667 0.5444 1
Tl1 Tl 0.6667 0.3333 0.4612 1

> Which formula does entry 4 have?

Cs4K6Tl

> uncorrected energy of number 6 (CsKTl)?

-1.3719 eV/atom

> Which value of uncorrected energy does entry 6 give?

-1.3719 eV/atom

> Which of these has the highest energy of formation?

CsKTl